# Pa2ZnCo3

Pa2ZnCo3 after structural relaxation (PBE-GGA, the Alexandria database).

```
Pa2ZnCo3
1.0
6.0882 0.0000 0.0000
0.0000 3.4967 0.0000
0.0000 0.0000 19.0258
Pa Zn Co
8 4 12
Direct
0.1664 0.2500 0.0903
0.1839 0.2500 0.3071
0.3161 0.7500 0.8071
0.3336 0.7500 0.5903
0.6664 0.2500 0.4097
0.6839 0.2500 0.1929
0.8161 0.7500 0.6929
0.8336 0.7500 0.9097
0.0808 0.7500 0.4470
0.4192 0.2500 0.9470
0.5808 0.7500 0.0530
0.9192 0.2500 0.5530
0.0292 0.2500 0.7921
0.1328 0.2500 0.6657
0.1525 0.7500 0.9892
0.3475 0.2500 0.4892
0.3672 0.7500 0.1657
0.4708 0.7500 0.2921
0.5292 0.2500 0.7079
0.6328 0.2500 0.8343
0.6525 0.7500 0.5108
0.8475 0.2500 0.0108
0.8672 0.7500 0.3343
0.9708 0.7500 0.2079
```

Properties
DOS(E_F) = 18.62 states/eV per cell
Excess energy over the best structure of this formula in the dataset = 24.7 meV per atom
Raw total energy = -7.205 eV per atom
ΔH_f (0 K) = -26.5 kJ/mol of atoms

# VPd6Au3

VPd6Au3 after structural relaxation (PBE-GGA, the Alexandria database).

```
VPd6Au3
1.0
8.7805 0.0000 0.0000
0.0000 4.0290 0.0000
-0.3647 0.0000 9.0260
V Pd Au
2 12 6
Direct
0.0624 0.2500 0.3742
0.9376 0.7500 0.6258
0.0479 0.7500 0.8915
0.1265 0.2500 0.6771
0.1487 0.7500 0.2032
0.2197 0.7500 0.4954
0.3403 0.2500 0.3042
0.4483 0.7500 0.1004
0.5517 0.2500 0.8996
0.6597 0.7500 0.6958
0.7803 0.2500 0.5046
0.8513 0.2500 0.7968
0.8735 0.7500 0.3229
0.9521 0.2500 0.1085
0.2472 0.2500 0.9972
0.3464 0.7500 0.7937
0.4481 0.2500 0.5983
0.5519 0.7500 0.4017
0.6536 0.2500 0.2063
0.7528 0.7500 0.0028
```

Properties
DOS(E_F) = 13.72 states/eV per cell
Excess energy over the best structure of this formula in the dataset = 0.0 meV per atom
Raw total energy = -5.161 eV per atom
ΔH_f (0 K) = -14.5 kJ/mol of atoms

# Al2HgIr2

Al2HgIr2 after structural relaxation (PBE-GGA, the Alexandria database).

```
Al2HgIr2
1.0
3.8790 0.0000 0.0000
0.0000 3.8790 0.0000
0.0000 0.0000 11.5257
Al Hg Ir
4 2 4
Direct
0.0000 0.5000 0.2500
0.0000 0.5000 0.7500
0.5000 0.0000 0.2500
0.5000 0.0000 0.7500
0.0000 0.0000 0.0000
0.5000 0.5000 0.5000
0.0000 0.0000 0.3858
0.0000 0.0000 0.6142
0.5000 0.5000 0.1142
0.5000 0.5000 0.8858
```

Properties
DOS(E_F) = 3.20 states/eV per cell
Excess energy over the best structure of this formula in the dataset = 181.3 meV per atom
Raw total energy = -5.430 eV per atom
ΔH_f (0 K) = -31.6 kJ/mol of atoms

# LiCe2NdS4

LiCe2NdS4 after structural relaxation (PBE-GGA, the Alexandria database).

```
LiCe2NdS4
1.0
6.9432 0.0000 0.0000
0.0000 4.0192 0.0000
-2.3317 0.0000 6.5511
Li Ce Nd S
1 2 1 4
Direct
0.0000 0.0000 0.0000
0.5000 0.0000 0.5000
0.5000 0.5000 0.0000
0.0000 0.5000 0.5000
0.2438 0.5000 0.2418
0.2464 0.0000 0.7574
0.7536 0.0000 0.2426
0.7562 0.5000 0.7582
```

Properties
DOS(E_F) = 11.59 states/eV per cell
Formation energy from raw total energies = -1452 kJ/mol of formula units
Raw total energy = -6.263 eV per atom

# La8Os3Rh

La8Os3Rh after structural relaxation (PBE-GGA, the Alexandria database).

```
La8Os3Rh
1.0
8.8047 -2.8518 0.0000
8.8047 2.8518 0.0000
-2.8526 0.0000 8.7884
La Os Rh
8 3 1
Direct
0.0000 0.0000 0.0000
0.1017 0.1017 0.6470
0.2133 0.2133 0.3496
0.3119 0.3119 0.0076
0.4240 0.4240 0.6622
0.5324 0.5324 0.3142
0.7770 0.7770 0.6856
0.8849 0.8849 0.3322
0.0507 0.0507 0.2964
0.2604 0.2604 0.6979
0.3617 0.3617 0.3075
0.9485 0.9485 0.6902
```

Properties
DOS(E_F) = 8.54 states/eV per cell
Raw total energy = -6.867 eV per atom
ΔH_f (0 K) = -15.6 kJ/mol of atoms

# BeCrBr2

BeCrBr2 after structural relaxation (PBE-GGA, the Alexandria database).

```
BeCrBr2
1.0
6.0266 0.0000 0.0000
0.0000 3.4806 0.0000
-0.0113 0.0000 8.3978
Be Cr Br
2 2 4
Direct
0.0000 0.0000 0.0000
0.5000 0.5000 0.0000
0.3334 0.0000 0.2133
0.8334 0.5000 0.2133
0.1671 0.5000 0.4117
0.3330 0.0000 0.8484
0.6671 0.0000 0.4117
0.8330 0.5000 0.8484
```

Properties
DOS(E_F) = 5.54 states/eV per cell
Excess energy over the best structure of this formula in the dataset = 0.0 meV per atom
Formation energy from raw total energies = -28 kJ/mol of formula units
Raw total energy = -4.247 eV per atom

no.,total moment (μB/atom)
1,0.00
2,0.00
3,0.00
4,0.27
5,0.00
6,1.00